[1]
# PrGdCuTc

A relaxed PrGdCuTc crystal (PBE, the Alexandria database).

The value obtained for the size of the total moment is 27.9 μB per cell.

The space group is F-43m (No. 216) and the conventional cell measures 7.058, 7.058 and 7.058 Å, with angles of 90.00, 90.00 and 90.00 degrees. The distinct sites, in fractional coordinates, are Pr at (0.000, 0.000, 0.000), Gd at (0.000, 0.000, 0.500), Cu at (0.250, 0.250, 0.250) and Tc at (0.250, 0.250, 0.750).



[2]
# LaPr2ErTh

A relaxed LaPr2ErTh crystal (PBE, the Alexandria database).

The value obtained for the size of the total moment is 0.0 μB per cell.

The space group is Pmma (No. 51) and the conventional cell measures 6.461, 8.754 and 6.309 Å, with angles of 90.00, 90.00 and 90.00 degrees. The distinct sites, in fractional coordinates, are La at (0.250, 0.000, 0.036), Pr at (0.250, 0.313, 0.787), Er at (0.250, 0.500, 0.309) and Th at (0.000, 0.000, 0.500).



[3]
# ZnIn2TeS

A relaxed ZnIn2TeS crystal (PBE, the Alexandria database).

The uncorrected formation energy comes out at 2.398 eV/f.u. The value obtained for the size of the total moment is 0.0 μB per cell.

The space group is P4/mmm (No. 123) and the conventional cell measures 5.965, 5.965 and 5.201 Å, with angles of 90.00, 90.00 and 90.00 degrees. The distinct sites, in fractional coordinates, are Zn at (0.000, 0.000, 0.000), In at (0.000, 0.500, 0.500), Te at (0.000, 0.000, 0.500) and S at (0.500, 0.500, 0.000).



[4]
# Al2ZnCr

A relaxed Al2ZnCr crystal (PBE, the Alexandria database).

The value obtained for the size of the total moment is 0.0 μB per cell.

The space group is P4mm (No. 99) and the conventional cell measures 2.667, 2.667 and 8.112 Å, with angles of 90.00, 90.00 and 90.00 degrees. The distinct sites, in fractional coordinates, are Al at (0.000, 0.000, 0.000), Al at (0.500, 0.500, 0.273), Zn at (0.500, 0.500, 0.742) and Cr at (0.000, 0.000, 0.504).



Listing theoretical density for the structures above in their given order: 8.68 7.63 4.08 4.93 g cm⁻³.
Listing VASP energy for the structures above in their given order: -132.720 -49.897 -11.622 -17.883 eV for the cell shown.